DFT (PBE) results for an optimized crystal structure of CdAs2Br.

Results
The symmetry is Cmm2, No. 35. For the energy above the lowest structure with this stoichiometry, the calculation gives 108 kJ/mol of formula units. The value obtained for the raw formation energy is 41 kJ/mol of formula units. For the density, the calculation gives 5.38 g/cm³.

a = 3.657 Å, b = 3.657 Å, c = 9.012 Å
α = 90.00°, β = 90.00°, γ = 118.83°
Fractional positions:
1 As 0.000 0.000 0.007
2 As 0.500 0.500 0.192
3 Br 0.000 0.000 0.542
4 Cd 0.500 0.500 0.758